# Tb5SmSc4

A geometry-optimized Tb5SmSc4 structure (GGA-PBE, Alexandria via LeMat-Bulk).

Lattice parameters (Å, degrees): 9.8309 9.8309 6.1851 90.00 90.00 90.00
Last column: nearest neighbours and their distance in Å.
Space group I4 (No. 79)
Symmetry-distinct sites (fractional):
Tb 0.0000 0.0000 0.0000  1 Sm 2.82
Tb 0.1471 0.7542 0.2723  4 Sc 3.06-3.41, 1 Tb 3.28, 1 Sm 3.28
Sm 0.0000 0.0000 0.5446  1 Tb 2.82
Sc 0.0568 0.6420 0.7735  1 Sc 3.01, 2 Tb 3.06-3.08

Results
calculated total energy = -99.70 eV for the cell shown
energy above the most stable polymorph in this dataset = 2.88 eV/f.u.
formation energy = 334 meV per atom
total magnetic moment = 0.001 μB/atom
density = 6.25 g/cm³



# InSe2BrCl

A geometry-optimized InSe2BrCl structure (GGA-PBE, Alexandria via LeMat-Bulk).

Lattice parameters (Å, degrees): 4.8588 4.8588 7.1732 90.00 90.00 90.00
Last column: nearest neighbours and their distance in Å.
Space group P4/mmm (No. 123)
Symmetry-distinct sites (fractional):
In 0.0000 0.0000 0.0000  4 Br 3.44
Se 0.0000 0.5000 0.5000  2 Cl 2.43
Br 0.5000 0.5000 0.0000  4 In 3.44, 2 Cl 3.59
Cl 0.5000 0.5000 0.5000  4 Se 2.43

Results
calculated total energy = -11.48 eV for the cell shown
energy above the most stable polymorph in this dataset = 0.37 eV/f.u.
uncorrected formation energy = 349 meV/atom
total magnetic moment = 0.260 μB/atom
density = 3.81 g/cm³



# Pr5CdSi2

A geometry-optimized Pr5CdSi2 structure (GGA-PBE, Alexandria via LeMat-Bulk).

Lattice parameters (Å, degrees): 7.8576 7.8576 15.1686 90.00 90.00 90.00
Last column: nearest neighbours and their distance in Å.
Space group I4/mcm (No. 140)
Symmetry-distinct sites (fractional):
Pr 0.0000 0.0000 0.0000  4 Si 3.16
Pr 0.1761 0.3239 0.1380  3 Si 3.13-3.14, 2 Cd 3.36
Cd 0.0000 0.0000 0.2500  8 Pr 3.36
Si 0.1143 0.3857 0.5000  1 Si 2.54

Results
calculated total energy = -157.13 eV for the cell shown
uncorrected formation energy = -453 meV/atom
total magnetic moment = 0.000 μB/atom
density = 6.19 g/cm³



# ScTl2Cd

A geometry-optimized ScTl2Cd structure (GGA-PBE, Alexandria via LeMat-Bulk).

Lattice parameters (Å, degrees): 3.4685 5.8971 10.0804 90.00 90.00 90.00
Last column: nearest neighbours and their distance in Å.
Space group Cmmm (No. 65)
Symmetry-distinct sites (fractional):
Sc 0.0000 0.0000 0.0000  4 Tl 3.05
Tl 0.0000 0.5000 0.2485  2 Sc 3.05, 2 Cd 3.07
Cd 0.0000 0.0000 0.5000  4 Tl 3.07, 4 Cd 3.42

Results
calculated total energy = -23.83 eV for the cell shown
energy above the most stable polymorph in this dataset = 0.61 eV/f.u.
formation energy = 16 meV per atom
total magnetic moment = 0.000 μB/atom
density = 9.12 g/cm³



# BaPrTlGa

A geometry-optimized BaPrTlGa structure (GGA-PBE, Alexandria via LeMat-Bulk).

Lattice parameters (Å, degrees): 8.0408 8.0408 8.0408 90.00 90.00 90.00
Last column: nearest neighbours and their distance in Å.
Space group F-43m (No. 216)
Symmetry-distinct sites (fractional):
Ba 0.0000 0.0000 0.0000  4 Tl 3.48, 4 Ga 3.48
Pr 0.0000 0.0000 0.5000  4 Tl 3.48, 4 Ga 3.48
Tl 0.2500 0.2500 0.7500  4 Ba 3.48, 4 Pr 3.48
Ga 0.2500 0.2500 0.2500  4 Ba 3.48, 4 Pr 3.48

Results
calculated total energy = -52.83 eV for the cell shown
formation energy = -278 meV per atom
total magnetic moment = 0.000 μB/atom
density = 7.06 g/cm³



# K3Tl2Au7

A geometry-optimized K3Tl2Au7 structure (GGA-PBE, Alexandria via LeMat-Bulk).

Lattice parameters (Å, degrees): 5.9476 5.9476 29.0904 90.00 90.00 120.00
Last column: nearest neighbours and their distance in Å.
Space group R-3m (No. 166, hexagonal axes)
Symmetry-distinct sites (fractional):
K 0.0000 0.0000 0.0000  6 Tl 3.43
K 0.0000 0.0000 0.1428  12 Au 3.39-3.50, 3 K 3.70
Tl 0.0000 0.0000 0.3313  6 Au 3.01-3.11
Au 0.0000 0.0000 0.5000  6 Au 2.88
Au 0.9995 0.4998 0.0871  5 Au 2.88-2.98, 2 Tl 3.01-3.11

Results
calculated total energy = -100.13 eV for the cell shown
formation energy = -201 meV per atom
total magnetic moment = 0.000 μB/atom
density = 10.65 g/cm³



# CoRhI2

A geometry-optimized CoRhI2 structure (GGA-PBE, Alexandria via LeMat-Bulk).

Lattice parameters (Å, degrees): 5.9444 5.9444 11.7985 90.00 90.00 90.00
Last column: nearest neighbours and their distance in Å.
Space group I-42d (No. 122)
Symmetry-distinct sites (fractional):
Co 0.0000 0.0000 0.0000  4 I 2.52
Rh 0.0000 0.0000 0.5000  4 I 2.62
I 0.2359 0.2500 0.1250  2 Co 2.52, 2 Rh 2.62

Results
calculated total energy = -63.74 eV for the cell shown
energy above the most stable polymorph in this dataset = 0.00 eV/f.u.
uncorrected formation energy = 406 meV/atom
total magnetic moment = 0.440 μB/atom
density = 6.62 g/cm³



# CeDy9Tm2

A geometry-optimized CeDy9Tm2 structure (GGA-PBE, Alexandria via LeMat-Bulk).

Lattice parameters (Å, degrees): 4.9928 4.9928 14.9973 90.00 90.00 90.00
Last column: nearest neighbours and their distance in Å.
Space group P4/mmm (No. 123)
Symmetry-distinct sites (fractional):
Ce 0.0000 0.0000 0.0000  12 Dy 3.53
Dy 0.0000 0.5000 0.1664  8 Dy 3.53-3.56, 2 Ce 3.53, 2 Tm 3.53
Dy 0.0000 0.5000 0.5000  8 Dy 3.51-3.53, 4 Tm 3.54
Dy 0.5000 0.5000 0.0000  8 Dy 3.53, 4 Ce 3.53
Dy 0.5000 0.5000 0.3355  8 Dy 3.51-3.56, 4 Tm 3.53
Tm 0.0000 0.0000 0.3331  12 Dy 3.53-3.54

Results
calculated total energy = -55.85 eV for the cell shown
formation energy = 37 meV per atom
total magnetic moment = 0.082 μB/atom
density = 8.62 g/cm³



# KRbCu2

A geometry-optimized KRbCu2 structure (GGA-PBE, Alexandria via LeMat-Bulk).

Lattice parameters (Å, degrees): 8.8683 8.8683 8.3699 90.00 90.00 90.00
Last column: nearest neighbours and their distance in Å.
Space group I-42d (No. 122)
Symmetry-distinct sites (fractional):
K 0.0000 0.0000 0.0000  4 Cu 3.22
Rb 0.0000 0.0000 0.5000  4 Cu 3.39
Cu 0.2358 0.2500 0.1250  2 K 3.22, 2 Rb 3.39

Results
calculated total energy = -31.39 eV for the cell shown
energy above the most stable polymorph in this dataset = 0.43 eV/f.u.
formation energy = 602 meV per atom
total magnetic moment = 0.000 μB/atom
density = 2.54 g/cm³



# Tl3Sn2S4

A geometry-optimized Tl3Sn2S4 structure (GGA-PBE, Alexandria via LeMat-Bulk).

Lattice parameters (Å, degrees): 13.9956 12.1954 6.2979 90.00 94.38 90.00
Last column: nearest neighbours and their distance in Å.
Space group C2/c (No. 15)
Symmetry-distinct sites (fractional):
Tl 0.0000 0.1837 0.2500  4 S 3.20-3.22, 2 Sn 3.22
Tl 0.1161 0.3854 0.9423  4 S 3.03-3.27
Sn 0.1803 0.1093 0.5639  3 S 2.49-2.63
S 0.1445 0.3661 0.4608  1 Sn 2.49
S 0.1684 0.1013 0.9720  2 Sn 2.59-2.63

Results
calculated total energy = -138.10 eV for the cell shown
energy above the most stable polymorph in this dataset = 0.05 eV/f.u.
uncorrected formation energy = -323 meV/atom
total magnetic moment = 0.000 μB/atom
density = 6.07 g/cm³



# Tb4PmSc5

A geometry-optimized Tb4PmSc5 structure (GGA-PBE, Alexandria via LeMat-Bulk).

Lattice parameters (Å, degrees): 10.1182 10.1182 5.6954 90.00 90.00 90.00
Last column: nearest neighbours and their distance in Å.
Space group I4mm (No. 107)
Symmetry-distinct sites (fractional):
Tb 0.0000 0.3235 0.0000  5 Sc 3.15-3.51
Pm 0.0000 0.0000 0.7342  2 Sc 2.71-2.98
Sc 0.0000 0.0000 0.2106  2 Pm 2.71-2.98
Sc 0.1898 0.1898 0.4573  3 Sc 3.06-3.33, 1 Pm 3.14, 2 Tb 3.15

Results
calculated total energy = -104.96 eV for the cell shown
formation energy = 245 meV per atom
total magnetic moment = 0.000 μB/atom
density = 5.73 g/cm³



# KCrTc3

A geometry-optimized KCrTc3 structure (GGA-PBE, Alexandria via LeMat-Bulk).

Lattice parameters (Å, degrees): 4.3979 4.3979 4.3979 90.00 90.00 90.00
Last column: nearest neighbours and their distance in Å.
Space group Pm-3m (No. 221)
Symmetry-distinct sites (fractional):
K 0.0000 0.0000 0.0000  6 Tc 2.20
Cr 0.5000 0.5000 0.5000  12 Tc 3.11
Tc 0.0000 0.0000 0.5000  2 K 2.20

Results
calculated total energy = -25.29 eV for the cell shown
energy above the most stable polymorph in this dataset = 9.27 eV/f.u.
formation energy = 3306 meV per atom
total magnetic moment = 0.000 μB/atom
density = 7.52 g/cm³



Number 6 is which compound?
K3Tl2Au7